Here is crystalline HgPtPb at its relaxed geometry from the Alexandria database. Energies are from PBE.

Properties
calculated volume = 23.174 A^3/atom
energy relative to the lowest polymorph listed for this composition = 0.112 eV per atom

Cell: 6.557 6.557 6.557 Å, 148.49 151.77 42.81°
Atoms (fractional coordinates):
Pb1 0.309 0.309 0.000
Pt1 0.666 0.666 0.000
Hg1 0.025 0.025 0.000